# 1
DFT (PBE) results for crystalline MgCu2Pb at its relaxed geometry.

Properties
**ΔE_f**: 0.080 eV per atom
**DOS(E_F)**: 1.49 states/eV/f.u.
**Final energy**: -3.294 eV per atom

Lattice parameters (Å, degrees): 3.2637 3.2637 7.0603 90.00 90.00 90.00
Last column: nearest neighbours and their distance in Å.
Space group P4mm (No. 99)
Unique sites:
Mg1 0.0000 0.0000 0.0000 (multiplicity 1)  5 Cu 2.65-2.80
Cu1 0.0000 0.0000 0.6243 (multiplicity 1)  4 Cu 2.55, 1 Mg 2.65
Cu2 0.5000 0.5000 0.7766 (multiplicity 1)  4 Cu 2.55, 4 Mg 2.80
Pb1 0.5000 0.5000 0.3482 (multiplicity 1)  5 Cu 3.02, 4 Pb 3.26, 4 Mg 3.37


# 2
DFT (PBE) results for crystalline MgCu2Pb at its relaxed geometry.

Properties
**ΔE_f**: 0.084 eV per atom
**DOS(E_F)**: 1.24 states/eV/f.u.
**Final energy**: -3.290 eV per atom

Lattice parameters (Å, degrees): 3.4347 3.4347 6.1527 90.00 90.00 90.00
Last column: nearest neighbours and their distance in Å.
Space group P4/mmm (No. 123)
Unique sites:
Mg1 0.0000 0.0000 0.0000 (multiplicity 1)  8 Cu 2.75
Cu1 0.5000 0.5000 0.2082 (multiplicity 2)  1 Cu 2.56, 4 Mg 2.75
Pb1 0.0000 0.0000 0.5000 (multiplicity 1)  8 Cu 3.02, 2 Mg 3.08


# 3
DFT (PBE) results for crystalline Mg2CuPb at its relaxed geometry.

Properties
**ΔE_f**: 0.036 eV per atom
**DOS(E_F)**: 1.09 states/eV/f.u.
**Final energy**: -2.712 eV per atom

Lattice parameters (Å, degrees): 3.5509 4.3836 5.7875 90.00 107.67 90.00
Last column: nearest neighbours and their distance in Å.
Space group Pm (No. 6)
Unique sites:
Mg1 0.0000 0.0000 0.0000 (multiplicity 1)  1 Cu 2.65
Mg2 0.3310 0.5000 0.6664 (multiplicity 1)  4 Cu 2.93-2.94, 3 Pb 3.02-3.06
Cu1 0.7624 0.0000 0.5202 (multiplicity 1)  5 Mg 2.65-2.94, 2 Pb 2.77
Pb1 0.6060 0.5000 0.2143 (multiplicity 1)  2 Cu 2.77, 7 Mg 3.02-3.06


# 4
DFT (PBE) results for crystalline MgCu2Pb at its relaxed geometry.

Properties
**ΔE_f**: 0.117 eV per atom
**DOS(E_F)**: 1.12 states/eV/f.u.
**Final energy**: -3.257 eV per atom

Lattice parameters (Å, degrees): 6.2238 6.0505 3.8000 90.00 90.99 90.00
Last column: nearest neighbours and their distance in Å.
Space group C2/m (No. 12)
Unique sites:
Mg1 0.0000 0.0000 0.0000 (multiplicity 2)  8 Cu 2.87-2.90, 4 Pb 3.03-3.11
Cu1 0.2500 0.2500 0.5000 (multiplicity 4)  4 Pb 2.87-2.90, 4 Mg 2.87-2.90, 4 Cu 3.03-3.11
Pb1 0.0000 0.5000 0.0000 (multiplicity 2)  8 Cu 2.87-2.90, 4 Mg 3.03-3.11


# 5
DFT (PBE) results for crystalline Mg4CuPb at its relaxed geometry.

Properties
**ΔE_f**: 0.205 eV per atom
**DOS(E_F)**: 1.85 states/eV/f.u.
**Final energy**: -2.159 eV per atom

Lattice parameters (Å, degrees): 8.1839 8.1839 8.1839 90.00 90.00 90.00
Last column: nearest neighbours and their distance in Å.
Space group F-43m (No. 216)
Unique sites:
Mg1 0.1245 0.1245 0.3755 (multiplicity 16)  6 Mg 2.88-2.91
Cu1 0.2500 0.2500 0.7500 (multiplicity 4)  12 Mg 3.39, 4 Pb 3.54
Pb1 0.0000 0.0000 0.0000 (multiplicity 4)  12 Mg 3.39, 4 Cu 3.54


# 6
DFT (PBE) results for crystalline Mg6CuPb at its relaxed geometry.

Properties
**ΔE_f**: 0.106 eV per atom
**DOS(E_F)**: 2.69 states/eV/f.u.
**Final energy**: -2.066 eV per atom

Lattice parameters (Å, degrees): 4.2661 4.2661 10.7416 90.00 90.00 90.00
Last column: nearest neighbours and their distance in Å.
Space group P4/mmm (No. 123)
Unique sites:
Mg1 0.0000 0.0000 0.1372 (multiplicity 2)  5 Mg 2.95-3.14
Mg2 0.0000 0.5000 0.3521 (multiplicity 4)  2 Cu 2.66
Cu1 0.5000 0.5000 0.5000 (multiplicity 1)  8 Mg 2.66
Pb1 0.5000 0.5000 0.0000 (multiplicity 1)  8 Mg 3.36